KSb2Au (GGA-PBEsol, optimized geometry); crystal system = orthorhombic; formation energy without anion corrections = -0.21 eV per atom; polymorph energy (0 for the lowest one) = 0 kJ/mol of formula units
1.0
3.343 0.000 0.000
0.000 4.382 0.000
0.000 0.000 7.480
K Sb Au
1 2 1
Direct
0.000 0.000 0.000
0.500 0.500 0.288
0.500 0.500 0.712
0.500 0.000 0.500